Pm4Sm2DyHo, relaxed, DFT PBE; crystal system = monoclinic; E_tot = -4.305 eV per atom; magnetic moment = 0.006 μB per cell; ΔE_f = 3.2 eV per formula unit
1.0
-8.799 -0.869 -3.617
2.401 -7.859 -4.872
3.221 3.180 11.033
Pm Sm Dy Ho
8 4 2 2
Cartesian
-0.372 -6.124 -4.547
-4.367 -1.044 1.569
1.190 -4.504 0.975
-2.805 0.576 7.091
-1.445 -3.083 4.528
-3.361 -5.213 -0.707
0.184 -0.335 3.251
-1.732 -2.465 -1.984
-4.400 -0.434 -1.809
-2.789 1.155 3.708
1.610 1.590 5.516
-3.199 -4.364 -4.245
-1.589 -2.774 1.272
-5.578 2.311 7.416
1.201 -3.929 -2.436
-5.988 -3.208 -0.537